<i>
This record from Alexandria via LeMat-Bulk describes a relaxed ThTc2B2 crystal. The functional is PBE.

The volume is 142.84 Å³/cell. For the density of states at the Fermi level, the calculation gives 3.26 states/eV/f.u. The total moment is 0.00 μB/atom.

The space group is C2/m (No. 12) and the conventional cell measures 10.340, 3.222 and 4.438 Å, with angles of 90.00, 104.96 and 90.00 degrees. The asymmetric unit holds Th at (0.000, 0.000, 0.000), Tc at (0.162, 0.500, 0.583) and B at (0.235, 0.500, 0.108).

=====

<ii>
This record from Alexandria via LeMat-Bulk describes a relaxed ThTc2B2 crystal. The functional is PBE.

The volume is 293.87 Å³/cell. For the density of states at the Fermi level, the calculation gives 2.76 states/eV/f.u. The total moment is 0.00 μB/atom.

The space group is C2/c (No. 15) and the conventional cell measures 5.327, 10.985 and 5.682 Å, with angles of 90.00, 117.89 and 90.00 degrees. The asymmetric unit holds Th at (0.000, 0.126, 0.250), Tc at (0.000, 0.191, 0.750), Tc at (0.000, 0.441, 0.250) and B at (0.089, 0.375, 0.929).

=====

Short version: <ii> is the least stable of them.